(1)
Material: TbEr4Hg
Method: DFT, PBE-GGA
State: relaxed

abc: 3.5404 3.5404 13.9478
angles: 90.00 90.00 90.00
Sites, in units of the cell vectors:
Tb 0.0000 0.0000 0.0000
Er 0.0000 0.0000 0.3560
Er 0.0000 0.0000 0.6440
Er 0.5000 0.5000 0.1778
Er 0.5000 0.5000 0.8222
Hg 0.5000 0.5000 0.5000

Fermi-level density of states = 8.4 states/eV per cell
raw total energy = -0.2945 Ry per atom
crystal system = tetragonal
SG = P4/mmm (123)
energy of formation = -0.14 eV/atom

***

(2)
Material: KMgCo3
Method: DFT, PBE-GGA
State: relaxed

abc: 4.5700 4.5700 4.5700
angles: 90.00 90.00 90.00
Sites, in units of the cell vectors:
K 0.0000 0.0000 0.0000
Mg 0.5000 0.5000 0.5000
Co 0.0000 0.0000 0.5000
Co 0.0000 0.5000 0.0000
Co 0.5000 0.0000 0.0000

Fermi-level density of states = 23.1 states/eV per cell
raw total energy = -0.1944 Ry per atom
crystal system = cubic
SG = Pm-3m (221)
energy of formation = 2.16 eV/atom

***

(3)
Material: Cd4Cu5
Method: DFT, PBE-GGA
State: relaxed

abc: 7.8299 7.8299 5.4797
angles: 90.00 90.00 120.00
Sites, in units of the cell vectors:
Cd 0.0000 0.0000 0.0000
Cd 0.0000 0.0000 0.5000
Cd 0.0000 0.3632 0.2500
Cd 0.0000 0.6368 0.7500
Cd 0.3632 0.0000 0.2500
Cd 0.3632 0.3632 0.7500
Cd 0.6368 0.0000 0.7500
Cd 0.6368 0.6368 0.2500
Cu 0.0000 0.3112 0.7500
Cu 0.0000 0.6888 0.2500
Cu 0.3112 0.0000 0.7500
Cu 0.3112 0.3112 0.2500
Cu 0.3333 0.6667 0.0000
Cu 0.3333 0.6667 0.5000
Cu 0.6667 0.3333 0.0000
Cu 0.6667 0.3333 0.5000
Cu 0.6888 0.0000 0.2500
Cu 0.6888 0.6888 0.7500

Fermi-level density of states = 2.7 states/eV per cell
raw total energy = -0.1886 Ry per atom
crystal system = hexagonal
SG = P6_3/mcm (193)
energy of formation = 0.12 eV/atom